VASP calculation (PBE) on a relaxed RbTl2Co crystal.

Cell lengths 5.451, 5.451, 5.451 Å; angles 60.00, 60.00, 60.00 degrees
Fractional coordinates of all 4 atoms:
Co 0.000 0.000 0.000
Rb 0.500 0.500 0.500
Tl 0.250 0.250 0.250
Tl 0.750 0.750 0.750

Values from the calculation:
Its formation energy is 0.70 eV per atom. The spin magnetization is 1.595 μB/f.u. For the volume, the calculation gives 114.54 Å³/cell.